Entry 1:
Density functional theory data (PBE) for K2Cu2Au after structural relaxation.

Cell and atoms, written as extended XYZ:
```
10
Lattice="6.817 0.000 0.000 0.000 6.817 0.000 0.000 0.000 5.271" Properties=species:S:1:pos:R:3 pbc="T T T"
K 1.264 2.145 0.000
K 2.145 5.553 0.000
K 4.673 1.264 0.000
K 5.553 4.673 0.000
Cu 0.874 4.283 2.636
Cu 2.534 0.874 2.636
Cu 4.283 5.943 2.636
Cu 5.943 2.534 2.636
Au 0.000 0.000 2.636
Au 3.409 3.409 2.636
```

Properties
**Energy of formation**: 0.16 eV per atom
**Offset from the most stable computed form**: 0.19 eV per formula unit
**Raw total energy**: -2.57 eV per atom

=====

Entry 2:
Density functional theory data (PBE) for KCuAu2 after structural relaxation.

Cell and atoms, written as extended XYZ:
```
4
Lattice="2.886 0.000 0.000 0.000 3.735 0.000 -0.015 0.000 7.842" Properties=species:S:1:pos:R:3 pbc="T T T"
K 0.000 0.000 0.000
Cu -0.007 0.000 3.921
Au 1.437 1.867 2.478
Au 1.434 1.867 5.364
```

Properties
**Energy of formation**: -0.01 eV per atom
**Offset from the most stable computed form**: 0.49 eV per formula unit
**Raw total energy**: -2.95 eV per atom

=====

Entry 3:
Density functional theory data (PBE) for KCuAu2 after structural relaxation.

Cell and atoms, written as extended XYZ:
```
8
Lattice="-2.668 2.668 8.644 2.668 -2.668 8.644 2.668 2.668 -8.644" Properties=species:S:1:pos:R:3 pbc="T T T"
K 2.668 1.334 2.161
K 0.000 1.334 6.483
Cu 2.668 -1.334 6.483
Cu 0.000 4.002 2.161
Au 0.000 0.000 0.000
Au 1.334 1.334 -4.322
Au 1.334 -1.334 4.322
Au 0.000 2.668 0.000
```

Properties
**Energy of formation**: -0.06 eV per atom
**Offset from the most stable computed form**: 0.30 eV per formula unit
**Raw total energy**: -3.00 eV per atom

=====

Entry 4:
Density functional theory data (PBE) for KCuAu after structural relaxation.

Cell and atoms, written as extended XYZ:
```
3
Lattice="0.000 3.391 3.391 3.391 0.000 3.391 3.391 3.391 0.000" Properties=species:S:1:pos:R:3 pbc="T T T"
K 0.000 0.000 0.000
Cu 1.696 1.696 1.696
Au 3.391 3.391 3.391
```

Properties
**Energy of formation**: 0.29 eV per atom
**Offset from the most stable computed form**: 0.96 eV per formula unit
**Raw total energy**: -2.53 eV per atom

=====

Entry 5:
Density functional theory data (PBE) for KCu2Au after structural relaxation.

Cell and atoms, written as extended XYZ:
```
4
Lattice="1.528 0.882 9.601 -1.528 0.882 9.601 0.000 -1.765 9.601" Properties=species:S:1:pos:R:3 pbc="T T T"
K 0.000 0.000 0.000
Cu 0.000 0.000 6.813
Cu 0.000 0.000 21.990
Au 0.000 0.000 14.401
```

Properties
**Energy of formation**: 0.51 eV per atom
**Offset from the most stable computed form**: 2.15 eV per formula unit
**Raw total energy**: -2.63 eV per atom

=====

Entry 6:
Density functional theory data (PBE) for KCu3Au after structural relaxation.

Cell and atoms, written as extended XYZ:
```
5
Lattice="4.933 0.000 0.000 0.000 4.933 0.000 0.000 0.000 4.933" Properties=species:S:1:pos:R:3 pbc="T T T"
K 0.000 0.000 0.000
Cu 0.000 2.466 2.466
Cu 2.466 0.000 2.466
Cu 2.466 2.466 0.000
Au 2.466 2.466 2.466
```

Properties
**Energy of formation**: 0.41 eV per atom
**Offset from the most stable computed form**: 0.00 eV per formula unit
**Raw total energy**: -2.92 eV per atom

=====

Entry 7:
Density functional theory data (PBE) for KCu2Au after structural relaxation.

Cell and atoms, written as extended XYZ:
```
4
Lattice="3.554 -3.583 0.000 3.554 3.583 0.000 -0.009 0.000 2.874" Properties=species:S:1:pos:R:3 pbc="T T T"
K 0.000 0.000 0.000
Cu 1.773 1.791 1.437
Cu 1.773 -1.791 1.437
Au 3.554 0.000 0.000
```

Properties
**Energy of formation**: 0.42 eV per atom
**Offset from the most stable computed form**: 1.79 eV per formula unit
**Raw total energy**: -2.72 eV per atom

=====

Entry 8:
Density functional theory data (PBE) for KCu2Au after structural relaxation.

Cell and atoms, written as extended XYZ:
```
4
Lattice="-2.042 2.042 4.586 2.042 -2.042 4.586 2.042 2.042 -4.586" Properties=species:S:1:pos:R:3 pbc="T T T"
K 0.000 0.000 0.000
Cu 0.000 0.000 4.586
Cu 0.000 2.042 2.293
Au 2.042 0.000 2.293
```

Properties
**Energy of formation**: 0.46 eV per atom
**Offset from the most stable computed form**: 1.95 eV per formula unit
**Raw total energy**: -2.68 eV per atom

=====

Entry 9:
Density functional theory data (PBE) for K2Cu2Au after structural relaxation.

Cell and atoms, written as extended XYZ:
```
5
Lattice="-1.778 1.778 10.128 1.778 -1.778 10.128 1.778 1.778 -10.128" Properties=species:S:1:pos:R:3 pbc="T T T"
K 0.000 0.000 2.204
K 0.000 0.000 18.051
Cu 1.778 0.000 5.064
Cu 0.000 1.778 5.064
Au 0.000 0.000 10.128
```

Properties
**Energy of formation**: 0.12 eV per atom
**Offset from the most stable computed form**: 0.00 eV per formula unit
**Raw total energy**: -2.61 eV per atom

=====

Entry 10:
Density functional theory data (PBE) for KCu3Au after structural relaxation.

Cell and atoms, written as extended XYZ:
```
5
Lattice="4.851 0.000 0.000 0.000 4.851 0.000 0.000 0.000 4.851" Properties=species:S:1:pos:R:3 pbc="T T T"
K 0.000 0.000 0.000
Cu 0.000 0.000 2.425
Cu 0.000 2.425 0.000
Cu 2.425 0.000 0.000
Au 2.425 2.425 2.425
```

Properties
**Energy of formation**: 1.69 eV per atom
**Offset from the most stable computed form**: 6.40 eV per formula unit
**Raw total energy**: -1.64 eV per atom

=====

Entry 11:
Density functional theory data (PBE) for KCuAu2 after structural relaxation.

Cell and atoms, written as extended XYZ:
```
4
Lattice="-2.162 2.162 4.399 2.162 -2.162 4.399 2.162 2.162 -4.399" Properties=species:S:1:pos:R:3 pbc="T T T"
K 0.000 0.000 0.000
Cu 0.000 2.162 2.199
Au 2.162 0.000 2.199
Au 0.000 0.000 4.399
```

Properties
**Energy of formation**: 0.24 eV per atom
**Offset from the most stable computed form**: 1.51 eV per formula unit
**Raw total energy**: -2.69 eV per atom

=====

Entry 12:
Density functional theory data (PBE) for KCuAu after structural relaxation.

Cell and atoms, written as extended XYZ:
```
3
Lattice="-1.505 2.092 5.770 1.505 -2.092 5.770 1.505 2.092 -5.770" Properties=species:S:1:pos:R:3 pbc="T T T"
K 0.000 0.000 0.000
Cu 0.000 0.000 3.069
Au 0.000 0.000 8.354
```

Properties
**Energy of formation**: 0.02 eV per atom
**Offset from the most stable computed form**: 0.13 eV per formula unit
**Raw total energy**: -2.81 eV per atom

=====

Entry 13:
Density functional theory data (PBE) for KCu2Au after structural relaxation.

Cell and atoms, written as extended XYZ:
```
4
Lattice="3.823 -2.216 0.000 3.823 2.216 0.000 -2.904 0.000 5.898" Properties=species:S:1:pos:R:3 pbc="T T T"
K 0.000 0.000 0.000
Cu 2.325 0.000 2.976
Cu 4.872 0.000 2.777
Au -0.229 0.000 3.232
```

Properties
**Energy of formation**: -0.02 eV per atom
**Offset from the most stable computed form**: 0.01 eV per formula unit
**Raw total energy**: -3.16 eV per atom

=====

Entry 14:
Density functional theory data (PBE) for KCu2Au after structural relaxation.

Cell and atoms, written as extended XYZ:
```
4
Lattice="2.799 0.000 0.000 0.000 4.615 0.000 -0.968 0.000 6.526" Properties=species:S:1:pos:R:3 pbc="T T T"
K 0.000 0.000 0.000
Cu 0.158 2.307 4.289
Cu 1.672 2.307 2.237
Au 0.915 0.000 3.263
```

Properties
**Energy of formation**: 0.23 eV per atom
**Offset from the most stable computed form**: 1.03 eV per formula unit
**Raw total energy**: -2.91 eV per atom

=====

Entry 15:
Density functional theory data (PBE) for KCuAu2 after structural relaxation.

Cell and atoms, written as extended XYZ:
```
4
Lattice="-1.432 2.722 5.507 1.432 -2.722 5.507 1.432 2.722 -5.507" Properties=species:S:1:pos:R:3 pbc="T T T"
K 0.000 0.000 0.000
Cu 0.000 2.722 2.416
Au 1.432 0.000 3.176
Au 0.000 0.000 5.738
```

Properties
**Energy of formation**: 0.12 eV per atom
**Offset from the most stable computed form**: 1.01 eV per formula unit
**Raw total energy**: -2.82 eV per atom

=====

Entry 16:
Density functional theory data (PBE) for K2LaCuAu after structural relaxation.

Cell and atoms, written as extended XYZ:
```
5
Lattice="7.430 0.000 0.000 0.000 7.430 0.000 0.000 0.000 5.392" Properties=species:S:1:pos:R:3 pbc="T T T"
K 0.000 3.715 0.000
K 3.715 0.000 0.000
La 0.000 0.000 0.000
Cu 3.715 3.715 2.696
Au 0.000 0.000 2.696
```

Properties
**Energy of formation**: 0.88 eV per atom
**Raw total energy**: -2.01 eV per atom

=====

Entry 17:
Density functional theory data (PBE) for KNa2CuAu after structural relaxation.

Cell and atoms, written as extended XYZ:
```
5
Lattice="5.446 0.000 0.000 0.000 5.446 0.000 0.000 0.000 5.030" Properties=species:S:1:pos:R:3 pbc="T T T"
K 0.000 0.000 0.000
Na 0.000 2.723 2.515
Na 2.723 0.000 2.515
Cu 2.723 2.723 2.515
Au 2.723 2.723 0.000
```

Properties
**Energy of formation**: 0.04 eV per atom
**Offset from the most stable computed form**: 0.00 eV per formula unit
**Raw total energy**: -2.18 eV per atom

=====

Entry 18:
Density functional theory data (PBE) for KNa2CuAu after structural relaxation.

Cell and atoms, written as extended XYZ:
```
5
Lattice="5.644 0.000 0.000 0.000 5.644 0.000 0.000 0.000 5.017" Properties=species:S:1:pos:R:3 pbc="T T T"
K 0.000 0.000 0.000
Na 0.000 2.822 2.508
Na 2.822 0.000 2.508
Cu 2.822 2.822 0.000
Au 2.822 2.822 2.508
```

Properties
**Energy of formation**: 0.05 eV per atom
**Offset from the most stable computed form**: 0.03 eV per formula unit
**Raw total energy**: -2.17 eV per atom

=====

Entry 19:
Density functional theory data (PBE) for K2CuNiAu after structural relaxation.

Cell and atoms, written as extended XYZ:
```
5
Lattice="6.073 0.000 0.000 0.000 6.073 0.000 0.000 0.000 4.755" Properties=species:S:1:pos:R:3 pbc="T T T"
K 0.000 3.037 0.000
K 3.037 0.000 0.000
Cu 0.000 0.000 2.378
Ni 3.037 3.037 0.000
Au 3.037 3.037 2.378
```

Properties
**Energy of formation**: 0.57 eV per atom
**Raw total energy**: -2.50 eV per atom

=====

Entry 20:
Density functional theory data (PBE) for KCuPAu after structural relaxation.

Cell and atoms, written as extended XYZ:
```
4
Lattice="-2.147 2.275 5.360 2.147 -2.275 5.360 2.147 2.275 -5.360" Properties=species:S:1:pos:R:3 pbc="T T T"
K 0.000 0.000 0.000
Cu 0.000 0.000 7.472
P 0.000 2.275 2.643
Au 0.000 0.000 3.345
```

Properties
**Energy of formation**: -0.24 eV per atom
**Raw total energy**: -3.71 eV per atom